[1]
This record from the Alexandria database describes a geometry-optimized Hf2SnP2 structure. The functional is GGA-PBE. Values from VASP.

Cell and atoms, written as Quantum ESPRESSO input:
```
&SYSTEM
  ibrav = 0, nat = 5, ntyp = 3
/
ATOMIC_SPECIES
Hf 178.49 Hf.upf
Sn 118.71 Sn.upf
P 30.97 P.upf
ATOMIC_POSITIONS angstrom
Hf 0.000 0.000 1.672
Hf 0.000 0.000 12.646
Sn 0.000 0.000 7.159
P 1.822 0.000 3.579
P 0.000 1.822 3.579
CELL_PARAMETERS angstrom
-1.822 1.822 7.159
1.822 -1.822 7.159
1.822 1.822 -7.159
```

energy above the most stable polymorph in this dataset	0.022	eV/atom

[2]
This record from the Alexandria database describes a geometry-optimized HfSnP structure. The functional is GGA-PBE. Values from VASP.

Cell and atoms, written as Quantum ESPRESSO input:
```
&SYSTEM
  ibrav = 0, nat = 6, ntyp = 3
/
ATOMIC_SPECIES
Hf 178.49 Hf.upf
Sn 118.71 Sn.upf
P 30.97 P.upf
ATOMIC_POSITIONS angstrom
Hf 0.972 0.972 1.553
Hf 2.917 2.917 6.640
Sn 0.972 2.917 4.097
Sn 2.917 0.972 4.097
P 0.972 0.972 7.136
P 2.917 2.917 1.057
CELL_PARAMETERS angstrom
3.889 0.000 0.000
0.000 3.889 0.000
0.000 0.000 8.193
```

energy	-41.33	eV for the cell shown

[3]
This record from the Alexandria database describes a geometry-optimized Hf3SnP structure. The functional is GGA-PBE. Values from VASP.

Cell and atoms, written as Quantum ESPRESSO input:
```
&SYSTEM
  ibrav = 0, nat = 5, ntyp = 3
/
ATOMIC_SPECIES
Hf 178.49 Hf.upf
Sn 118.71 Sn.upf
P 30.97 P.upf
ATOMIC_POSITIONS angstrom
Hf 0.000 0.000 2.412
Hf 0.000 2.412 0.000
Hf 2.412 0.000 0.000
Sn 2.412 2.412 2.412
P 0.000 0.000 0.000
CELL_PARAMETERS angstrom
4.823 0.000 0.000
0.000 4.823 0.000
0.000 0.000 4.823
```

energy above the most stable polymorph in this dataset	0.355	eV/atom

[4]
This record from the Alexandria database describes a geometry-optimized HfSnTe2P structure. The functional is GGA-PBE. Values from VASP.

Cell and atoms, written as Quantum ESPRESSO input:
```
&SYSTEM
  ibrav = 0, nat = 5, ntyp = 4
/
ATOMIC_SPECIES
Hf 178.49 Hf.upf
Sn 118.71 Sn.upf
Te 127.60 Te.upf
P 30.97 P.upf
ATOMIC_POSITIONS angstrom
Hf 0.000 0.000 0.000
Sn 0.000 0.000 2.769
Te 0.000 2.777 2.769
Te 2.777 0.000 2.769
P 2.777 2.777 0.000
CELL_PARAMETERS angstrom
5.554 0.000 0.000
0.000 5.554 0.000
0.000 0.000 5.538
```

formation energy (no corrections)	1.28	eV/atom

[5]
This record from the Alexandria database describes a geometry-optimized HfSn2PW structure. The functional is GGA-PBE. Values from VASP.

Cell and atoms, written as Quantum ESPRESSO input:
```
&SYSTEM
  ibrav = 0, nat = 5, ntyp = 4
/
ATOMIC_SPECIES
Hf 178.49 Hf.upf
Sn 118.71 Sn.upf
P 30.97 P.upf
W 183.84 W.upf
ATOMIC_POSITIONS angstrom
Hf 0.000 0.000 0.000
Sn 0.000 2.660 2.248
Sn 2.660 0.000 2.248
P 2.660 2.660 0.000
W 2.660 2.660 2.248
CELL_PARAMETERS angstrom
5.321 0.000 0.000
0.000 5.321 0.000
0.000 0.000 4.497
```

energy	-32.29	eV for the cell shown

[6]
This record from the Alexandria database describes a geometry-optimized SrHfP2 structure. The functional is GGA-PBE. Values from VASP.

Cell and atoms, written as Quantum ESPRESSO input:
```
&SYSTEM
  ibrav = 0, nat = 4, ntyp = 3
/
ATOMIC_SPECIES
Sr 87.62 Sr.upf
Hf 178.49 Hf.upf
P 30.97 P.upf
ATOMIC_POSITIONS angstrom
Sr 0.000 0.000 0.000
Hf 0.000 0.000 10.314
P 0.000 0.000 4.870
P 0.000 0.000 15.757
CELL_PARAMETERS angstrom
1.954 1.128 6.876
-1.954 1.128 6.876
0.000 -2.256 6.876
```

energy above the most stable polymorph in this dataset	0.000	eV/atom

no.,total magnetization (μB/cell)
1,0.00
2,0.00
3,0.00
4,0.50
5,0.00
6,0.00